[1]
Entry from Alexandria: PmPa2RhN4 after structural relaxation (PBE).

Structure (POSCAR):
```
PmPa2RhN4
1.0
1.7701 -5.7789 0.0000
1.7701 5.7789 0.0000
0.0000 0.0000 11.7296
Pm Pa Rh N
2 4 2 8
direct
0.1064 0.8936 0.7500 Pm
0.8936 0.1064 0.2500 Pm
0.3692 0.6308 0.5626 Pa
0.3692 0.6308 0.9374 Pa
0.6308 0.3692 0.0626 Pa
0.6308 0.3692 0.4374 Pa
0.1565 0.8435 0.2500 Rh
0.8435 0.1565 0.7500 Rh
0.0000 0.0000 0.0000 N
0.0000 0.0000 0.5000 N
0.2702 0.7298 0.1002 N
0.2702 0.7298 0.3998 N
0.4639 0.5361 0.7500 N
0.5361 0.4639 0.2500 N
0.7298 0.2702 0.6002 N
0.7298 0.2702 0.8998 N
```

Summary:
Its volume is 240.0 Å³ per cell. The value obtained for the uncorrected formation energy is -1284 meV per atom.

[2]
Entry from Alexandria: SmMg2Ag2Hg2 after structural relaxation (PBE).

Structure (POSCAR):
```
SmMg2Ag2Hg2
1.0
2.3844 1.3767 7.8966
-2.3844 1.3767 7.8966
0.0000 -2.7533 7.8966
Sm Mg Ag Hg
1 2 2 2
direct
0.0000 0.0000 0.0000 Sm
0.1401 0.1401 0.1401 Mg
0.8599 0.8599 0.8599 Mg
0.4384 0.4384 0.4384 Ag
0.5616 0.5616 0.5616 Ag
0.2678 0.2678 0.2678 Hg
0.7322 0.7322 0.7322 Hg
```

Summary:
Its volume is 155.5 Å³ per cell. For the formation energy, the calculation gives -0.236 eV/atom.

[3]
Entry from Alexandria: LiGa3Ni after structural relaxation (PBE).

Structure (POSCAR):
```
LiGa3Ni
1.0
4.4129 0.0000 0.0000
0.0000 4.4129 0.0000
0.0000 0.0000 4.4129
Li Ga Ni
1 3 1
direct
0.0000 0.0000 0.0000 Li
0.0000 0.0000 0.5000 Ga
0.0000 0.5000 0.0000 Ga
0.5000 0.0000 0.0000 Ga
0.5000 0.5000 0.5000 Ni
```

Summary:
Its volume is 85.9 Å³ per cell. For the formation energy, the calculation gives 0.564 eV/atom.

[4]
Entry from Alexandria: OsCl after structural relaxation (PBE).

Structure (POSCAR):
```
OsCl
1.0
6.7120 -1.4522 0.0000
6.7120 1.4522 0.0000
-0.7357 0.0000 5.7365
Os Cl
3 3
direct
0.0000 0.0000 0.0000 Os
0.0547 0.0547 0.4267 Os
0.4320 0.4320 0.5974 Os
0.3640 0.3640 0.0530 Cl
0.6409 0.6409 0.9804 Cl
0.7783 0.7783 0.5212 Cl
```

Summary:
Its volume is 111.8 Å³ per cell. The value obtained for the uncorrected formation energy is 615 meV per atom.

[5]
Entry from Alexandria: Nd2ErBi2O2 after structural relaxation (PBE).

Structure (POSCAR):
```
Nd2ErBi2O2
1.0
-2.1882 2.1882 8.4443
2.1882 -2.1882 8.4443
2.1882 2.1882 -8.4443
Nd Er Bi O
2 1 2 2
direct
0.1094 0.1094 0.0000 Nd
0.8906 0.8906 0.0000 Nd
0.5000 0.5000 0.0000 Er
0.3103 0.3103 0.0000 Bi
0.6897 0.6897 0.0000 Bi
0.0000 0.5000 0.5000 O
0.5000 0.0000 0.5000 O
```

Summary:
Its volume is 161.7 Å³ per cell. The value obtained for the uncorrected formation energy is -1879 meV per atom.

[6]
Entry from Alexandria: Ge2Rh13 after structural relaxation (PBE).

Structure (POSCAR):
```
Ge2Rh13
1.0
4.6908 0.0000 0.0000
-0.0371 6.6580 0.0000
-2.3383 -0.0359 6.8238
Ge Rh
2 13
direct
0.2324 0.1712 0.2984 Ge
0.7676 0.8288 0.7016 Ge
0.0304 0.1650 0.8943 Rh
0.0983 0.5010 0.7006 Rh
0.1655 0.8329 0.5012 Rh
0.3008 0.4998 0.0999 Rh
0.3686 0.8337 0.8980 Rh
0.4350 0.1650 0.7011 Rh
0.5000 0.5000 0.5000 Rh
0.5650 0.8350 0.2989 Rh
0.6314 0.1663 0.1020 Rh
0.6992 0.5002 0.9001 Rh
0.8345 0.1671 0.4988 Rh
0.9017 0.4990 0.2994 Rh
0.9696 0.8350 0.1057 Rh
```

Summary:
Its volume is 213.1 Å³ per cell. For the formation energy, the calculation gives -0.111 eV/atom.